BaGaFeO4: optimized geometry, GGA+U.

The space group is I-4 (No. 82) and the conventional cell measures 5.782, 5.782 and 6.893 Å, with angles of 90.00, 90.00 and 90.00 degrees. The distinct sites, in fractional coordinates, are Ba at (0.000, 0.000, 0.000), Ga at (0.000, 0.000, 0.500), Fe at (0.000, 0.500, 0.250) and O at (0.138, 0.223, 0.338).

The calculation puts the size of the total moment at 0.43 μB per atom. The total energy is -6.1885 eV per atom.

---

Ba2GaFe2O6: optimized geometry, GGA+U.

The space group is R-3m (No. 166, hexagonal axes) and the conventional cell measures 5.9519, 5.9519 and 16.2345 Å, with angles of 90.00, 90.00 and 120.00 degrees. The distinct sites, in fractional coordinates, are Ba at (0.0000, 0.0000, 0.2190), Ga at (0.0000, 0.0000, 0.0000), Fe at (0.0000, 0.0000, 0.4216) and O at (0.0233, 0.5117, 0.7443).

The calculation puts the size of the total moment at 0.82 μB per atom. The total energy is -6.2232 eV per atom.

---

Please write out number 1 again, unchanged.
BaGaFeO4: optimized geometry, GGA+U.

The space group is I-4 (No. 82) and the conventional cell measures 5.782, 5.782 and 6.893 Å, with angles of 90.00, 90.00 and 90.00 degrees. The distinct sites, in fractional coordinates, are Ba at (0.000, 0.000, 0.000), Ga at (0.000, 0.000, 0.500), Fe at (0.000, 0.500, 0.250) and O at (0.138, 0.223, 0.338).

The calculation puts the size of the total moment at 0.43 μB per atom. The total energy is -6.1885 eV per atom.

---

Which value of size of the total moment does entry 2 give? 0.82 μB per atom